Below is crystalline SrYZnAu at its relaxed geometry, with properties calculated at the GGA-PBE level.

a b c (Å): 5.2528 5.2528 5.2528
angles (deg): 60.00 60.00 60.00
With the nearest neighbours (Å) after each atom.
Fractional coordinates of all 4 atoms:
Zn  0.0000  0.0000  0.0000  4 Sr 3.22, 4 Y 3.22
Au  0.5000  0.5000  0.5000  4 Sr 3.22, 4 Y 3.22
Sr  0.2500  0.2500  0.2500  4 Zn 3.22, 4 Au 3.22
Y  0.7500  0.7500  0.7500  4 Zn 3.22, 4 Au 3.22

Values from the calculation:
Total DFT energy (no corrections), eV per atom: -3.62
Space group: F-43m, No. 216
Formation energy, kJ per mole of atoms: -43.4
ρ, g cm⁻³: 7.11